The following is a PBE-GGA calculation of a relaxed SmTh2Pa crystal, from the Alexandria database.

POSCAR file:
```
SmTh2Pa
1.0
5.560 0.000 0.000
2.780 4.815 0.000
2.780 1.605 4.540
Pa Sm Th
1 1 2
Cartesian
0.000 0.000 0.000
5.560 3.210 2.270
2.780 1.605 1.135
8.340 4.815 3.405
```

Values from the calculation:
- DFT formation energy: 0.2929 eV per atom



The following is a PBE-GGA calculation of a relaxed Th6RuRh2C3 crystal, from the Alexandria database.

POSCAR file:
```
Th6RuRh2C3
1.0
-2.654 -0.223 2.713
-4.242 -5.230 -4.580
6.873 -4.463 3.693
Th Ru Rh C
6 1 2 3
Cartesian
-0.351 -7.937 -0.996
-2.003 -4.699 0.318
0.328 -1.978 2.822
2.958 -5.980 5.067
-2.981 -3.935 -3.240
1.980 -5.216 1.508
-1.327 -0.111 1.357
-0.446 -6.803 1.669
0.423 -3.112 0.158
-3.448 -2.726 -0.933
1.605 -4.062 3.900
-1.628 -5.853 -2.074
```

Values from the calculation:
- DFT formation energy: -0.3904 eV per atom



The following is a PBE-GGA calculation of a relaxed Mg2TiNbCl crystal, from the Alexandria database.

POSCAR file:
```
Mg2TiNbCl
1.0
-1.858 0.493 4.264
-1.791 -4.219 -0.293
3.886 -1.781 1.899
Nb Cl Mg Ti
1 1 2 1
Cartesian
0.118 -2.754 2.936
0.000 0.000 0.000
1.943 -0.891 0.950
-0.929 0.246 2.132
-0.895 -2.109 -0.146
```

Values from the calculation:
- Uncorrected formation energy: 456 meV/atom



The following is a PBE-GGA calculation of a relaxed HoAl4NiPt2 crystal, from the Alexandria database.

POSCAR file:
```
HoAl4NiPt2
1.0
4.230 0.000 0.000
2.115 3.663 0.000
2.115 1.221 8.568
Ho Al Ni Pt
1 4 1 2
Cartesian
0.000 0.000 0.000
4.230 2.442 6.752
6.345 3.663 3.485
2.115 1.221 5.083
4.230 2.442 1.817
4.230 2.442 4.284
6.345 3.663 6.135
2.115 1.221 2.434
```

Values from the calculation:
- DFT formation energy: -0.8341 eV per atom



The following is a PBE-GGA calculation of a relaxed CdRh4Se8 crystal, from the Alexandria database.

POSCAR file:
```
CdRh4Se8
1.0
-7.049 -0.561 2.602
-1.550 1.909 7.122
-3.987 6.227 1.448
Cd Rh Se
1 4 8
Cartesian
-9.440 5.682 8.379
-8.299 2.527 5.488
-5.473 3.796 7.810
-6.725 6.014 4.895
-4.676 2.815 4.151
-4.890 0.797 2.707
-2.433 1.901 4.727
-3.522 3.830 2.192
-1.741 1.048 1.545
-4.611 4.846 5.668
-6.982 3.781 3.719
-5.931 1.920 6.166
-7.650 4.604 6.790
```

Values from the calculation:
- Uncorrected formation energy: -396 meV/atom



The following is a PBE-GGA calculation of a relaxed La3Al4Pd2 crystal, from the Alexandria database.

POSCAR file:
```
La3Al4Pd2
1.0
4.523 0.000 0.000
-2.261 5.482 -1.515
0.000 -1.043 8.806
La Al Pd
3 4 2
Cartesian
2.261 1.324 5.097
0.000 0.000 0.000
0.000 3.115 2.194
2.261 2.589 0.000
0.000 1.850 7.291
2.261 4.643 4.223
0.000 -0.205 3.068
2.261 0.799 2.050
0.000 3.639 5.241
```

Values from the calculation:
- DFT formation energy: -0.6650 eV per atom



The following is a PBE-GGA calculation of a relaxed Mn2TlW crystal, from the Alexandria database.

POSCAR file:
```
Mn2TlW
1.0
8.744 0.054 0.032
8.204 3.026 0.032
8.204 1.491 2.633
Mn Tl W
2 1 1
Cartesian
0.222 0.040 0.024
12.353 2.245 1.325
6.288 1.143 0.674
18.864 3.428 2.023
```

Values from the calculation:
- DFT formation energy: 0.5638 eV per atom



The following is a PBE-GGA calculation of a relaxed ReSiAu2 crystal, from the Alexandria database.

POSCAR file:
```
ReSiAu2
1.0
-1.531 1.534 -8.800
-2.452 -1.208 -8.641
-4.241 0.964 -7.951
Au Re Si
2 1 1
Cartesian
-0.026 0.004 -0.082
-4.086 0.641 -12.614
-2.056 0.322 -6.348
-6.168 0.967 -19.044
```

Values from the calculation:
- Uncorrected formation energy: 424 meV/atom



no.,spin magnetization (μB per atom)
1,0.000
2,0.000
3,0.000
4,0.000
5,0.000
6,0.000
7,1.227
8,0.000